Below is Pr4PPtS2 after structural relaxation, with properties calculated at the PBE-GGA level.

Cell lengths 4.139, 7.259, 7.278 Å; angles 70.97, 90.00, 90.00 degrees
Fractional coordinates of all 8 atoms:
Pr 0.500 0.252 0.744
Pr 0.000 0.748 0.748
S 0.000 0.000 0.000
Pr 0.500 0.748 0.256
S 0.500 0.000 0.500
Pt 0.500 0.500 0.000
Pr 0.000 0.252 0.252
P 0.000 0.500 0.500

Computed properties:
energy relative to the elements, uncorrected = -1.63 eV per atom
crystal system = monoclinic
M_tot = 0.000 μB/atom
symmetry = P2/m, No. 10

---

Below is Fe4Ni5Pt3 after structural relaxation, with properties calculated at the PBE-GGA level.

Cell lengths 5.250, 8.253, 4.505 Å; angles 90.60, 89.83, 50.96 degrees
Fractional coordinates of all 12 atoms:
Fe 0.177 0.822 0.837
Ni 0.330 0.165 0.164
Pt 0.397 0.839 0.331
Pt 0.603 0.161 0.669
Fe 0.902 0.834 0.323
Fe 0.823 0.178 0.163
Fe 0.098 0.166 0.677
Pt 0.000 0.500 0.500
Ni 0.500 0.500 0.500
Ni 0.670 0.835 0.836
Ni 0.750 0.494 0.998
Ni 0.250 0.506 0.002

Computed properties:
crystal system = triclinic
M_tot = 1.324 μB/atom
energy relative to the elements = -1.5 eV per formula unit
symmetry = P-1, No. 2

---

Below is In4SiW after structural relaxation, with properties calculated at the PBE-GGA level.

Cell lengths 5.698, 5.698, 5.698 Å; angles 60.00, 60.00, 60.00 degrees
Fractional coordinates of all 6 atoms:
In 0.375 0.876 0.375
Si 0.750 0.750 0.750
In 0.375 0.375 0.876
W 0.000 0.000 0.000
In 0.876 0.375 0.375
In 0.375 0.375 0.375

Computed properties:
energy relative to the elements, uncorrected = 0.99 eV per atom
crystal system = cubic
M_tot = 0.000 μB/atom
symmetry = F-43m, No. 216

---

Below is BaSr2P2 after structural relaxation, with properties calculated at the PBE-GGA level.

Cell lengths 5.008, 5.008, 7.982 Å; angles 90.00, 90.00, 60.00 degrees
Fractional coordinates of all 5 atoms:
P 0.833 0.333 0.245
Sr 0.167 0.667 0.353
Sr 0.833 0.333 0.647
Ba 0.500 0.000 0.000
P 0.167 0.667 0.755

Computed properties:
relative energy among the computed polymorphs = 0 meV/atom
crystal system = trigonal
M_tot = 0.000 μB/atom
energy relative to the elements = -5.2 eV per formula unit
symmetry = P-3m1, No. 164

---

Below is Na3ReI after structural relaxation, with properties calculated at the PBE-GGA level.

Cell lengths 5.889, 5.889, 5.889 Å; angles 90.00, 90.00, 90.00 degrees
Fractional coordinates of all 5 atoms:
Na 0.000 0.500 0.000
I 0.500 0.500 0.500
Na 0.500 0.000 0.000
Na 0.000 0.000 0.500
Re 0.000 0.000 0.000

Computed properties:
energy relative to the elements, uncorrected = 0.99 eV per atom
relative energy among the computed polymorphs = 0 meV/atom
crystal system = cubic
M_tot = 0.658 μB/atom
symmetry = Pm-3m, No. 221

---

Below is NdSm5Er2 after structural relaxation, with properties calculated at the PBE-GGA level.

Cell lengths 5.085, 7.210, 14.421 Å; angles 90.00, 90.00, 90.00 degrees
Fractional coordinates of all 16 atoms:
Sm 0.000 0.001 0.250
Sm 0.500 0.251 0.375
Sm 0.500 0.749 0.625
Nd 0.000 0.500 0.000
Sm 0.500 0.249 0.875
Er 0.500 0.251 0.125
Er 0.500 0.749 0.875
Sm 0.000 0.501 0.250
Sm 0.500 0.751 0.125
Sm 0.000 0.999 0.750
Sm 0.000 0.500 0.500
Sm 0.000 0.000 0.000
Er 0.500 0.751 0.375
Sm 0.000 0.499 0.750
Nd 0.000 0.000 0.500
Er 0.500 0.249 0.625

Computed properties:
relative energy among the computed polymorphs = 0 meV/atom
crystal system = orthorhombic
M_tot = 0.000 μB/atom
energy relative to the elements = 0.1 eV per formula unit
symmetry = Pbam, No. 55

---

Q: The highest M_tot belongs to which entry?
A: Fe4Ni5Pt3

---

Q: Among the records above, which one has the highest M_tot?
A: Fe4Ni5Pt3